This record from Alexandria via LeMat-Bulk describes crystalline La3MnAl2O9 at its relaxed geometry. The functional is GGA+U.

Calculated values
- ρ (g/cm³) = 6.585
- energy (eV/atom) = -7.92

Cell: 5.4320 5.4320 6.6080 Å, 90.00 90.00 120.00°
With the nearest neighbours (Å) after each atom.
Atoms (fractional coordinates):
La (0.0000, 0.0000, 0.0000)  12 O 2.71-2.72
La (0.3333, 0.6667, 0.6630)  12 O 2.68-2.72
La (0.6667, 0.3333, 0.3370)  12 O 2.68-2.72
O (0.1700, 0.8300, 0.3308)  1 Al 1.90, 1 Mn 1.95
O (0.5000, 0.5000, 0.0000)  2 Al 1.90
O (0.6600, 0.8300, 0.3308)  1 Al 1.90, 1 Mn 1.95
O (0.0000, 0.5000, 0.0000)  2 Al 1.90
O (0.3400, 0.1700, 0.6692)  1 Al 1.90, 1 Mn 1.95
O (0.8300, 0.1700, 0.6692)  1 Al 1.90, 1 Mn 1.95
O (0.8300, 0.6600, 0.6692)  1 Al 1.90, 1 Mn 1.95
O (0.5000, 0.0000, 0.0000)  2 Al 1.90
O (0.1700, 0.3400, 0.3308)  1 Al 1.90, 1 Mn 1.95
Al (0.6667, 0.3333, 0.8382)  6 O 1.90
Al (0.3333, 0.6667, 0.1618)  6 O 1.90
Mn (0.0000, 0.0000, 0.5000)  6 O 1.95